(1)
The following is a PBE calculation of CdPtF6 after structural relaxation, from the Open Quantum Materials Database.

The structure belongs to space group P-1 (No. 2); the cell edges are 4.894, 4.917 and 5.366 Å and the angles 63.48°, 63.17° and 60.57°. The asymmetric unit holds Cd at (0.000, 0.000, 0.000), Pt at (0.500, 0.500, 0.500), F at (0.071, 0.718, 0.739), F at (0.281, 0.531, 0.257) and F at (0.470, 0.073, 0.738).

---

(2)
The following is a PBE calculation of Cs2Dy2Te3S after structural relaxation, from the Open Quantum Materials Database.

The structure belongs to space group P3m1 (No. 156); the cell edges are 4.4169, 4.4169 and 17.4596 Å and the angles 90.00°, 90.00° and 120.00°. The asymmetric unit holds Cs at (0.0000, 0.0000, 0.0000), Cs at (0.3333, 0.6667, 0.4798), Dy at (0.6667, 0.3333, 0.2198), Dy at (0.6667, 0.3333, 0.7401), Te at (0.0000, 0.0000, 0.3213), Te at (0.0000, 0.0000, 0.6400), Te at (0.3333, 0.6667, 0.8406) and S at (0.3333, 0.6667, 0.1450).

---

(3)
The following is a PBE calculation of TlCuTcPt after structural relaxation, from the Open Quantum Materials Database.

The calculation puts the distance to the lowest polymorph of the same formula at 0.0000 eV per atom.

The structure belongs to space group F-43m (No. 216); the cell edges are 6.428, 6.428 and 6.428 Å and the angles 90.00°, 90.00° and 90.00°. The asymmetric unit holds Tl at (0.000, 0.000, 0.000), Cu at (0.250, 0.250, 0.250), Tc at (0.250, 0.250, 0.750) and Pt at (0.000, 0.000, 0.500).

---

(4)
The following is a PBE calculation of HfAlRe after structural relaxation, from the Open Quantum Materials Database.

The calculation puts the distance to the lowest polymorph of the same formula at 0.0000 eV per atom.

The structure belongs to space group Amm2 (No. 38); the cell edges are 8.592, 5.238 and 9.112 Å and the angles 90.00°, 90.00° and 90.00°. The asymmetric unit holds Hf at (0.181, 0.000, 0.000), Hf at (0.310, 0.000, 0.338), Al at (0.251, 0.000, 0.678), Al at (0.500, 0.243, 0.086), Re at (0.000, 0.000, 0.507), Re at (0.000, 0.243, 0.261) and Re at (0.500, 0.000, 0.841).

---

| no. | raw total energy (eV/atom) |
| --- | --- |
| 1 | -3.869 |
| 2 | -4.530 |
| 3 | -5.226 |
| 4 | -9.169 |